Record 1
Crystalline DyTm5P6 at its relaxed geometry. Source: Alexandria, functional PBE-GGA.

Summary:
ΔE_f (eV per atom): -1.608
Electronic total energy (eV per cell): -78.72
Fermi-level density of states (states/eV per cell): 1.156
Space-group type: C2/m

a = 6.8566 Å, b = 6.8590 Å, c = 6.8564 Å
α = 59.99°, β = 80.39°, γ = 70.51°
Element x y z (fractional)
Tm 0.5000 0.1663 0.6675
Tm 0.5000 0.5000 0.0000
Tm 0.5000 0.8337 0.3325
Tm 0.0000 0.3332 0.3336
Tm 0.0000 0.6668 0.6664
P 0.7489 0.7484 0.0000
P 0.2511 0.2516 0.0000
P 0.2513 0.5809 0.3353
P 0.7487 0.4191 0.6647
P 0.2513 0.9162 0.6647
P 0.7487 0.0838 0.3353
Dy 0.0000 0.0000 0.0000

***

Record 2
Crystalline Ac2Pm3NdAs6 at its relaxed geometry. Source: Alexandria, functional PBE-GGA.

Summary:
ΔE_f (eV per atom): -1.486
Electronic total energy (eV per cell): -72.96
Fermi-level density of states (states/eV per cell): 1.509
Space-group type: C2/m

a = 4.3509 Å, b = 8.7113 Å, c = 9.7300 Å
α = 102.98°, β = 102.92°, γ = 90.00°
Element x y z (fractional)
As 0.9962 0.2487 0.9924
As 0.6629 0.5928 0.3258
As 0.6665 0.0726 0.3331
As 0.3371 0.4072 0.6742
As 0.0038 0.7513 0.0076
As 0.3335 0.9274 0.6669
Nd 0.5000 0.0000 0.0000
Pm 0.1664 0.8349 0.3327
Pm 0.8336 0.1651 0.6673
Pm 0.5000 0.5000 0.0000
Ac 0.1655 0.3314 0.3309
Ac 0.8345 0.6686 0.6691

***

Record 3
Crystalline AlZnP2 at its relaxed geometry. Source: Alexandria, functional PBE-GGA.

Summary:
Excess energy over the best structure of this formula in the dataset (meV/atom): 411
ΔE_f (eV per atom): 0.186
Electronic total energy (eV per cell): -15.09
Fermi-level density of states (states/eV per cell): 1.264
Space-group type: Imm2

a = 5.2163 Å, b = 5.2163 Å, c = 5.2163 Å
α = 144.99°, β = 129.51°, γ = 62.92°
Element x y z (fractional)
Zn 0.4786 0.4786 0.0000
P 0.0287 0.0287 0.0000
P 0.2199 0.7199 0.5000
Al 0.7728 0.2728 0.5000

***

Record 4
Crystalline LaFeCo2 at its relaxed geometry. Source: Alexandria, functional PBE-GGA.

Summary:
ΔE_f (eV per atom): -0.014
Electronic total energy (eV per cell): -27.66
Fermi-level density of states (states/eV per cell): 3.791
Space-group type: Cm

a = 4.0752 Å, b = 4.0752 Å, c = 5.5523 Å
α = 68.39°, β = 68.39°, γ = 60.02°
Site moments in Bohr magnetons follow the coordinates.
Element x y z (fractional)
La 0.7513 0.7513 0.7469  -0.25
Fe 0.5576 0.5576 0.3269  2.26
Co 0.9379 0.9379 0.1860  1.29
Co 0.2532 0.2532 0.2402  1.40

***

Record 5
Crystalline Sr2AgF at its relaxed geometry. Source: Alexandria, functional PBE-GGA.

Summary:
Energy relative to the elements, uncorrected (eV per atom): -1.09
Excess energy over the best structure of this formula in the dataset (meV/atom): 345
Electronic total energy (eV per cell): -12.47
Fermi-level density of states (states/eV per cell): 1.017
Space-group type: Fm-3m

a = 5.4075 Å, b = 5.4075 Å, c = 5.4075 Å
α = 60.00°, β = 60.00°, γ = 60.00°
Element x y z (fractional)
Sr 0.2500 0.2500 0.2500
Sr 0.7500 0.7500 0.7500
F 0.0000 0.0000 0.0000
Ag 0.5000 0.5000 0.5000

***

Record 6
Crystalline La2Al2P at its relaxed geometry. Source: Alexandria, functional PBE-GGA.

Summary:
Excess energy over the best structure of this formula in the dataset (meV/atom): 681
ΔE_f (eV per atom): 0.039
Electronic total energy (eV per cell): -45.11
Fermi-level density of states (states/eV per cell): 10.426
Space-group type: P4/nmm

a = 4.3100 Å, b = 4.3100 Å, c = 15.7546 Å
α = 90.00°, β = 90.00°, γ = 90.00°
Element x y z (fractional)
P 0.0000 0.5000 0.1421
P 0.5000 0.0000 0.8579
Al 0.0000 0.5000 0.8443
Al 0.0000 0.0000 0.5000
Al 0.5000 0.5000 0.5000
Al 0.5000 0.0000 0.1557
La 0.5000 0.5000 0.0000
La 0.5000 0.0000 0.3515
La 0.0000 0.0000 0.0000
La 0.0000 0.5000 0.6485

***

Record 7
Crystalline Mg4Tc at its relaxed geometry. Source: Alexandria, functional PBE-GGA.

Summary:
Excess energy over the best structure of this formula in the dataset (meV/atom): 20
ΔE_f (eV per atom): 0.167
Electronic total energy (eV per cell): -15.91
Fermi-level density of states (states/eV per cell): 3.797
Space-group type: Fmmm

a = 12.2680 Å, b = 12.1706 Å, c = 2.8971 Å
α = 85.11°, β = 81.28°, γ = 13.61°
Element x y z (fractional)
Mg 0.9129 0.9129 0.0871
Mg 0.0871 0.0871 0.9129
Mg 0.6955 0.6955 0.3045
Mg 0.3045 0.3045 0.6955
Tc 0.5000 0.5000 0.5000

***

Record 8
Crystalline Ce2InHg2 at its relaxed geometry. Source: Alexandria, functional PBE-GGA.

Summary:
Excess energy over the best structure of this formula in the dataset (meV/atom): 0
ΔE_f (eV per atom): -0.302
Electronic total energy (eV per cell): -33.44
Fermi-level density of states (states/eV per cell): 27.188
Space-group type: P4/mbm

a = 4.4538 Å, b = 7.8978 Å, c = 7.8978 Å
α = 90.00°, β = 90.00°, γ = 90.00°
Site moments in Bohr magnetons follow the coordinates.
Element x y z (fractional)
Hg 0.0000 0.6321 0.1321  0.02
Hg 0.0000 0.3679 0.8679  0.02
Hg 0.0000 0.8679 0.6321  0.02
Hg 0.0000 0.1321 0.3679  0.02
Ce 0.5000 0.8308 0.3308  0.79
Ce 0.5000 0.3308 0.1692  0.79
Ce 0.5000 0.1692 0.6692  0.79
Ce 0.5000 0.6692 0.8308  0.79
In 0.0000 0.0000 0.0000  -0.01
In 0.0000 0.5000 0.5000  -0.01

***

Record 9
Crystalline BTeRuI2 at its relaxed geometry. Source: Alexandria, functional PBE-GGA.

Summary:
Energy relative to the elements, uncorrected (eV per atom): 1.39
Excess energy over the best structure of this formula in the dataset (meV/atom): 139
Electronic total energy (eV per cell): -15.23
Fermi-level density of states (states/eV per cell): 6.094
Space-group type: P4/mmm

a = 4.9561 Å, b = 4.9561 Å, c = 4.9529 Å
α = 90.00°, β = 90.00°, γ = 90.00°
Site moments in Bohr magnetons follow the coordinates.
Element x y z (fractional)
I 0.0000 0.5000 0.0000  0.09
I 0.5000 0.0000 0.0000  0.09
B 0.0000 0.0000 0.0000  0.00
Te 0.0000 0.0000 0.5000  0.05
Ru 0.5000 0.5000 0.5000  2.48

***

Record 10
Crystalline La3BiPt at its relaxed geometry. Source: Alexandria, functional PBE-GGA.

Summary:
Excess energy over the best structure of this formula in the dataset (meV/atom): 218
ΔE_f (eV per atom): -0.696
Electronic total energy (eV per cell): -28.18
Fermi-level density of states (states/eV per cell): 5.799
Space-group type: Pm-3m

a = 5.6674 Å, b = 5.6674 Å, c = 5.6674 Å
α = 90.00°, β = 90.00°, γ = 90.00°
Element x y z (fractional)
Pt 0.0000 0.0000 0.0000
La 0.5000 0.0000 0.0000
La 0.0000 0.0000 0.5000
La 0.0000 0.5000 0.0000
Bi 0.5000 0.5000 0.5000

***

Record 11
Crystalline InRu at its relaxed geometry. Source: Alexandria, functional PBE-GGA.

Summary:
ΔE_f (eV per atom): 0.742
Electronic total energy (eV per cell): -84.24
Fermi-level density of states (states/eV per cell): 19.644
Space-group type: I4/m

a = 10.6982 Å, b = 10.6982 Å, c = 3.7786 Å
α = 90.00°, β = 90.00°, γ = 90.00°
Element x y z (fractional)
Ru 0.2024 0.7053 0.5000
Ru 0.2976 0.7947 0.0000
Ru 0.7024 0.2053 0.0000
Ru 0.7947 0.7024 0.0000
Ru 0.2947 0.2024 0.5000
Ru 0.7976 0.2947 0.5000
Ru 0.7053 0.7976 0.5000
Ru 0.2053 0.2976 0.0000
In 0.2084 0.9699 0.5000
In 0.0301 0.2084 0.5000
In 0.5301 0.7084 0.0000
In 0.2916 0.5301 0.0000
In 0.4699 0.2916 0.0000
In 0.7084 0.4699 0.0000
In 0.9699 0.7916 0.5000
In 0.7916 0.0301 0.5000

***

Record 12
Crystalline Pu2TlCuS4 at its relaxed geometry. Source: Alexandria, functional PBE-GGA.

Summary:
Energy relative to the elements, uncorrected (eV per atom): -1.21
Electronic total energy (eV per cell): -122.57
Fermi-level density of states (states/eV per cell): 32.799
Space-group type: Cmcm

a = 3.9998 Å, b = 7.1524 Å, c = 13.6962 Å
α = 90.00°, β = 90.00°, γ = 106.24°
Site moments in Bohr magnetons follow the coordinates.
Element x y z (fractional)
S 0.0000 0.0000 0.5000  -0.12
S 0.0000 0.0000 0.0000  -0.12
S 0.7404 0.4808 0.6097  -0.11
S 0.2596 0.5192 0.3903  -0.11
S 0.4253 0.8505 0.7500  -0.09
S 0.2596 0.5192 0.1097  -0.11
S 0.7404 0.4808 0.8903  -0.11
S 0.5747 0.1495 0.2500  -0.09
Pu 0.3669 0.7337 0.5591  5.07
Pu 0.6331 0.2663 0.4409  5.07
Pu 0.3669 0.7337 0.9409  5.07
Pu 0.6331 0.2663 0.0591  5.07
Tl 0.8950 0.7900 0.2500  0.00
Tl 0.1050 0.2100 0.7500  0.00
Cu 0.1657 0.3313 0.2500  -0.07
Cu 0.8343 0.6687 0.7500  -0.07

***

Record 13
Crystalline Rb2Pu2HfSe6 at its relaxed geometry. Source: Alexandria, functional PBE-GGA.

Summary:
Energy relative to the elements, uncorrected (eV per atom): -1.42
Electronic total energy (eV per cell): -77.11
Fermi-level density of states (states/eV per cell): 22.398
Space-group type: C2/m

a = 7.1272 Å, b = 7.1272 Å, c = 8.5244 Å
α = 98.32°, β = 98.32°, γ = 119.56°
Site moments in Bohr magnetons follow the coordinates.
Element x y z (fractional)
Se 0.6211 0.9339 0.3105  -0.08
Se 0.9339 0.6211 0.3105  -0.08
Se 0.7524 0.7524 0.6885  -0.07
Se 0.2476 0.2476 0.3115  -0.07
Se 0.0661 0.3789 0.6895  -0.08
Se 0.3789 0.0661 0.6895  -0.08
Rb 0.1703 0.8297 0.0000  0.00
Rb 0.8297 0.1703 0.0000  0.00
Hf 0.0000 0.0000 0.5000  0.09
Pu 0.3333 0.6667 0.5000  5.09
Pu 0.6667 0.3333 0.5000  5.09

***

Record 14
Crystalline CaLaSi2Pt5 at its relaxed geometry. Source: Alexandria, functional PBE-GGA.

Summary:
Energy relative to the elements, uncorrected (eV per atom): -0.97
Electronic total energy (eV per cell): -56.75
Fermi-level density of states (states/eV per cell): 4.192
Space-group type: P4/mmm

a = 4.2405 Å, b = 4.2405 Å, c = 9.1476 Å
α = 90.00°, β = 90.00°, γ = 90.00°
Element x y z (fractional)
Pt 0.5000 0.0000 0.7412
Pt 0.5000 0.5000 0.5000
Pt 0.0000 0.5000 0.2588
Pt 0.5000 0.0000 0.2588
Pt 0.0000 0.5000 0.7412
La 0.0000 0.0000 0.5000
Si 0.5000 0.5000 0.8686
Si 0.5000 0.5000 0.1314
Ca 0.0000 0.0000 0.0000

***

Record 15
Crystalline Na2Pd2RuO6 at its relaxed geometry. Source: Alexandria, functional PBE-GGA.

Summary:
Energy relative to the elements, uncorrected (eV per atom): -0.86
Electronic total energy (eV per cell): -61.48
Fermi-level density of states (states/eV per cell): 2.506
Space-group type: C2/m

a = 5.4407 Å, b = 5.4407 Å, c = 5.6893 Å
α = 99.99°, β = 99.99°, γ = 118.57°
Site moments in Bohr magnetons follow the coordinates.
Element x y z (fractional)
O 0.2522 0.2522 0.3077  0.01
O 0.7478 0.7478 0.6923  0.01
O 0.3869 0.0597 0.6909  0.01
O 0.0597 0.3869 0.6909  0.01
O 0.9403 0.6131 0.3091  0.01
O 0.6131 0.9403 0.3091  0.01
Pd 0.6652 0.3348 0.5000  0.14
Pd 0.3348 0.6652 0.5000  0.14
Na 0.1701 0.8299 0.0000  0.00
Na 0.8299 0.1701 0.0000  0.00
Ru 0.0000 0.0000 0.5000  -0.38

***

Record 16
Crystalline SmErSb at its relaxed geometry. Source: Alexandria, functional PBE-GGA.

Summary:
Energy relative to the elements, uncorrected (eV per atom): -0.44
Electronic total energy (eV per cell): -14.73
Fermi-level density of states (states/eV per cell): 2.965
Space-group type: P3m1

a = 4.0624 Å, b = 5.0650 Å, c = 5.0650 Å
α = 120.00°, β = 90.00°, γ = 90.00°
Element x y z (fractional)
Sm 0.6242 0.6667 0.3333
Sb 0.2762 0.3333 0.6667
Er 0.0996 0.0000 0.0000

***

Record 17
Crystalline La6Pm2In3 at its relaxed geometry. Source: Alexandria, functional PBE-GGA.

Summary:
ΔE_f (eV per atom): 0.089
Electronic total energy (eV per cell): -46.30
Fermi-level density of states (states/eV per cell): 12.107
Space-group type: I4/mmm

a = 5.4549 Å, b = 5.4549 Å, c = 13.4771 Å
α = 101.68°, β = 101.68°, γ = 90.00°
Element x y z (fractional)
La 0.5989 0.0989 0.1978
La 0.9011 0.4011 0.8022
La 0.7003 0.7003 0.4006
La 0.0989 0.5989 0.1978
La 0.2997 0.2997 0.5994
La 0.4011 0.9011 0.8022
Pm 0.4444 0.4444 0.8887
Pm 0.5556 0.5556 0.1113
In 0.8246 0.8246 0.6491
In 0.0000 0.0000 0.0000
In 0.1754 0.1754 0.3509

***

Record 18
Crystalline Nd4Pd3C5 at its relaxed geometry. Source: Alexandria, functional PBE-GGA.

Summary:
ΔE_f (eV per atom): -0.249
Electronic total energy (eV per cell): -83.76
Fermi-level density of states (states/eV per cell): 1.482
Space-group type: P-1

a = 3.9813 Å, b = 6.3135 Å, c = 9.3328 Å
α = 75.72°, β = 77.70°, γ = 71.67°
Element x y z (fractional)
C 0.6101 0.4358 0.3414
C 0.3899 0.5642 0.6586
C 0.5000 0.0000 0.0000
C 0.7039 0.2093 0.3834
C 0.2961 0.7907 0.6166
Nd 0.1046 0.2057 0.5863
Nd 0.7380 0.7004 0.8254
Nd 0.2620 0.2996 0.1746
Nd 0.8954 0.7943 0.4137
Pd 0.5557 0.7175 0.1719
Pd 0.4443 0.2825 0.8281
Pd 0.0000 0.0000 0.0000

***

Record 19
Crystalline HPtPb3 at its relaxed geometry. Source: Alexandria, functional PBE-GGA.

Summary:
Excess energy over the best structure of this formula in the dataset (meV/atom): 0
Electronic total energy (eV per cell): -19.04
Fermi-level density of states (states/eV per cell): 2.061
Space-group type: Pm-3m

a = 4.7612 Å, b = 4.7612 Å, c = 4.7612 Å
α = 90.00°, β = 90.00°, γ = 90.00°
Element x y z (fractional)
Pb 0.0000 0.5000 0.0000
Pb 0.5000 0.0000 0.0000
Pb 0.0000 0.0000 0.5000
H 0.0000 0.0000 0.0000
Pt 0.5000 0.5000 0.5000

***

Record 20
Crystalline UVSb2 at its relaxed geometry. Source: Alexandria, functional PBE-GGA.

Summary:
Energy relative to the elements, uncorrected (eV per atom): -0.02
Excess energy over the best structure of this formula in the dataset (meV/atom): 0
Electronic total energy (eV per cell): -28.75
Fermi-level density of states (states/eV per cell): 7.428
Space-group type: R-3m

a = 4.6533 Å, b = 4.6533 Å, c = 5.5789 Å
α = 65.35°, β = 65.35°, γ = 60.00°
Site moments in Bohr magnetons follow the coordinates.
Element x y z (fractional)
Sb 0.2693 0.2693 0.1920  0.02
Sb 0.7307 0.7307 0.8080  0.02
V 0.0000 0.0000 0.0000  -1.66
U 0.5000 0.5000 0.5000  2.34